# KNb2Ni | the Alexandria database | GGA-PBE | optimized geometry
# * formation enthalpy at 0 K: 5.6 eV per formula unit
# * energy above the lowest structure with this stoichiometry: 7.6 kJ/mol of atoms
# * symmetry: I4_1/amd
# * density: 4.20 g/cm³
# * total DFT energy (no corrections): -5.3619 eV/atom
data_KNb2Ni
_chemical_formula_sum 'K2 Nb4 Ni2'
_symmetry_space_group_name_H-M 'P 1'
_symmetry_Int_Tables_number 1
_cell_length_a 5.0995
_cell_length_b 5.0995
_cell_length_c 9.3512
_cell_angle_alpha 74.18
_cell_angle_beta 74.18
_cell_angle_gamma 90.00
loop_
_symmetry_equiv_pos_as_xyz
'x,y,z'
loop_
_atom_site_label
_atom_site_type_symbol
_atom_site_fract_x
_atom_site_fract_y
_atom_site_fract_z
_atom_site_occupancy
K1 K 0.5000 0.5000 0.0000 1
K2 K 0.2500 0.7500 0.5000 1
Nb1 Nb 0.8750 0.6250 0.2500 1
Nb2 Nb 0.3750 0.1250 0.7500 1
Nb3 Nb 0.8750 0.1250 0.7500 1
Nb4 Nb 0.8750 0.1250 0.2500 1
Ni1 Ni 0.7500 0.2500 0.5000 1
Ni2 Ni 0.0000 0.0000 0.0000 1

# KNb2Ni | the Alexandria database | GGA-PBE | optimized geometry
# * formation enthalpy at 0 K: 5.3 eV per formula unit
# * energy above the lowest structure with this stoichiometry: 0.0 kJ/mol of atoms
# * symmetry: Fm-3m
# * density: 6.68 g/cm³
# * total DFT energy (no corrections): -5.4407 eV/atom
data_KNb2Ni
_chemical_formula_sum 'K1 Nb2 Ni1'
_symmetry_space_group_name_H-M 'P 1'
_symmetry_Int_Tables_number 1
_cell_length_a 4.6377
_cell_length_b 4.6377
_cell_length_c 4.6377
_cell_angle_alpha 60.00
_cell_angle_beta 60.00
_cell_angle_gamma 60.00
loop_
_symmetry_equiv_pos_as_xyz
'x,y,z'
loop_
_atom_site_label
_atom_site_type_symbol
_atom_site_fract_x
_atom_site_fract_y
_atom_site_fract_z
_atom_site_occupancy
Ni1 Ni 0.5000 0.5000 0.5000 1
Nb1 Nb 0.2500 0.2500 0.2500 1
Nb2 Nb 0.7500 0.7500 0.7500 1
K1 K 0.0000 0.0000 0.0000 1

# KNbNi | the Alexandria database | GGA-PBE | optimized geometry
# * formation enthalpy at 0 K: 0.7 eV per formula unit
# * energy above the lowest structure with this stoichiometry: 0.0 kJ/mol of atoms
# * symmetry: P-1
# * density: 4.33 g/cm³
# * total DFT energy (no corrections): -5.4010 eV/atom
data_KNbNi
_chemical_formula_sum 'K2 Nb2 Ni2'
_symmetry_space_group_name_H-M 'P 1'
_symmetry_Int_Tables_number 1
_cell_length_a 3.2884
_cell_length_b 3.2897
_cell_length_c 13.5890
_cell_angle_alpha 91.15
_cell_angle_beta 95.66
_cell_angle_gamma 90.02
loop_
_symmetry_equiv_pos_as_xyz
'x,y,z'
loop_
_atom_site_label
_atom_site_type_symbol
_atom_site_fract_x
_atom_site_fract_y
_atom_site_fract_z
_atom_site_occupancy
Ni1 Ni 0.6888 0.2371 0.8497 1
Ni2 Ni 0.3112 0.7629 0.1503 1
Nb1 Nb 0.2232 0.7443 0.9341 1
Nb2 Nb 0.7768 0.2557 0.0659 1
K1 K 0.8877 0.2795 0.3403 1
K2 K 0.1123 0.7205 0.6597 1

# KNbNi | the Alexandria database | GGA-PBE | optimized geometry
# * formation enthalpy at 0 K: 1.2 eV per formula unit
# * energy above the lowest structure with this stoichiometry: 13.3 kJ/mol of atoms
# * symmetry: Pm
# * density: 4.17 g/cm³
# * total DFT energy (no corrections): -5.2633 eV/atom
data_KNbNi
_chemical_formula_sum 'K2 Nb2 Ni2'
_symmetry_space_group_name_H-M 'P 1'
_symmetry_Int_Tables_number 1
_cell_length_a 3.3905
_cell_length_b 3.3910
_cell_length_c 13.2008
_cell_angle_alpha 90.00
_cell_angle_beta 90.24
_cell_angle_gamma 90.00
loop_
_symmetry_equiv_pos_as_xyz
'x,y,z'
loop_
_atom_site_label
_atom_site_type_symbol
_atom_site_fract_x
_atom_site_fract_y
_atom_site_fract_z
_atom_site_occupancy
K1 K 0.1062 0.5000 0.8741 1
K2 K 0.6389 0.0000 0.5563 1
Ni1 Ni 0.1337 0.5000 0.3687 1
Ni2 Ni 0.1219 0.5000 0.1654 1
Nb1 Nb 0.6310 0.0000 0.2908 1
Nb2 Nb 0.6125 0.0000 0.0993 1

# KNbNi | the Alexandria database | GGA-PBE | optimized geometry
# * formation enthalpy at 0 K: 1.8 eV per formula unit
# * energy above the lowest structure with this stoichiometry: 34.7 kJ/mol of atoms
# * symmetry: Cm
# * density: 4.54 g/cm³
# * total DFT energy (no corrections): -5.0411 eV/atom
data_KNbNi
_chemical_formula_sum 'K2 Nb2 Ni2'
_symmetry_space_group_name_H-M 'P 1'
_symmetry_Int_Tables_number 1
_cell_length_a 2.9634
_cell_length_b 3.2962
_cell_length_c 14.5985
_cell_angle_alpha 90.00
_cell_angle_beta 101.81
_cell_angle_gamma 90.00
loop_
_symmetry_equiv_pos_as_xyz
'x,y,z'
loop_
_atom_site_label
_atom_site_type_symbol
_atom_site_fract_x
_atom_site_fract_y
_atom_site_fract_z
_atom_site_occupancy
Ni1 Ni 0.9465 0.0000 0.6004 1
Ni2 Ni 0.9465 0.5000 0.1004 1
Nb1 Nb 0.3621 0.0000 0.0169 1
Nb2 Nb 0.3621 0.5000 0.5169 1
K1 K 0.6274 0.5000 0.7818 1
K2 K 0.6274 0.0000 0.2818 1

# KNbNi3 | the Alexandria database | GGA-PBE | optimized geometry
# * formation enthalpy at 0 K: 5.0 eV per formula unit
# * energy above the lowest structure with this stoichiometry: 0.0 kJ/mol of atoms
# * symmetry: Pm-3m
# * density: 4.80 g/cm³
# * total DFT energy (no corrections): -4.6929 eV/atom
data_KNbNi3
_chemical_formula_sum 'K1 Nb1 Ni3'
_symmetry_space_group_name_H-M 'P 1'
_symmetry_Int_Tables_number 1
_cell_length_a 4.7403
_cell_length_b 4.7403
_cell_length_c 4.7403
_cell_angle_alpha 90.00
_cell_angle_beta 90.00
_cell_angle_gamma 90.00
loop_
_symmetry_equiv_pos_as_xyz
'x,y,z'
loop_
_atom_site_label
_atom_site_type_symbol
_atom_site_fract_x
_atom_site_fract_y
_atom_site_fract_z
_atom_site_occupancy
Ni1 Ni 0.0000 0.5000 0.0000 1
Ni2 Ni 0.5000 0.0000 0.0000 1
Ni3 Ni 0.0000 0.0000 0.5000 1
Nb1 Nb 0.0000 0.0000 0.0000 1
K1 K 0.5000 0.5000 0.5000 1

- Look up the total DFT energy (no corrections) of the fifth one.
  -5.0411 eV/atom

- Number 4 is which compound?
  KNbNi

- Which value of density does entry 2 give?
  6.68 g/cm³

- formation enthalpy at 0 K of number 2 (KNb2Ni)?
  5.3 eV per formula unit